CdI2BrO | PBE-GGA | optimized geometry

Cell: 6.035 6.035 4.017 Å, 90.00 90.00 90.00°
Fractional positions:
Cd (0.000, 0.000, 0.000)
I (0.000, 0.500, 0.500)
I (0.500, 0.000, 0.500)
Br (0.500, 0.500, 0.500)
O (0.500, 0.500, 0.000)

## Properties
* total magnetization: 0.0 μB/cell
* space-group type: No. 123
* ΔE_f (raw): 0.406 eV/atom
* VASP energy: -1.723 eV per atom
* relative energy among the computed polymorphs: 218 meV per atom
* crystal system: tetragonal